# 1
Here is LaRe2Te after structural relaxation from Alexandria via LeMat-Bulk. Energies are from PBE.

a b c (Å): 5.7870 5.7870 5.7870
angles (deg): 142.54 123.80 69.51
Element x y z (fractional)
La: 0.2622 0.7622 0.5000
Re: 0.9292 0.9292 0.0000
Re: 0.7681 0.2681 0.5000
Te: 0.5405 0.5405 0.0000

Computed properties:
- Formation energy from raw total energies: 0.3772 eV per atom

=====

# 2
Here is La5CeSb6 after structural relaxation from Alexandria via LeMat-Bulk. Energies are from PBE.

a b c (Å): 7.9824 7.9800 7.9817
angles (deg): 60.01 80.40 70.52
Element x y z (fractional)
La: 0.0000 0.6661 0.6678
La: 0.5000 0.5000 0.0000
La: 0.5000 0.8320 0.3360
La: 0.5000 0.1680 0.6640
La: 0.0000 0.3339 0.3322
Sb: 0.2478 0.2454 0.0000
Sb: 0.7522 0.7546 0.0000
Sb: 0.7533 0.0821 0.3284
Sb: 0.2467 0.9179 0.6716
Sb: 0.7533 0.4105 0.6716
Sb: 0.2467 0.5895 0.3284
Ce: 0.0000 0.0000 0.0000

Computed properties:
- Formation energy from raw total energies: -1.2403 eV per atom

=====

# 3
Here is Ti7NiC5 after structural relaxation from Alexandria via LeMat-Bulk. Energies are from PBE.

a b c (Å): 3.0818 5.3472 18.8900
angles (deg): 90.00 90.00 106.75
Element x y z (fractional)
C: 0.5445 0.0886 0.3593
C: 0.0003 0.0006 0.0000
C: 0.7265 0.4531 0.5702
C: 0.2740 0.5480 0.0702
C: 0.4562 0.9126 0.8593
C: 0.7265 0.4532 0.9298
C: 0.5444 0.0886 0.1407
C: 0.2741 0.5480 0.4298
C: 0.4561 0.9125 0.6407
C: 0.0003 0.0006 0.5000
Ti: 0.3636 0.7275 0.9661
Ti: 0.6369 0.2737 0.0339
Ti: 0.8256 0.6516 0.8348
Ti: 0.5273 0.0536 0.7500
Ti: 0.8256 0.6515 0.6652
Ti: 0.0892 0.1791 0.6006
Ti: 0.9114 0.8220 0.3994
Ti: 0.0893 0.1792 0.8994
Ti: 0.1750 0.3496 0.1652
Ti: 0.9113 0.8220 0.1006
Ti: 0.6369 0.2737 0.4661
Ti: 0.3636 0.7274 0.5339
Ti: 0.4732 0.9475 0.2500
Ti: 0.1750 0.3496 0.3348
Ni: 0.7951 0.5912 0.2500
Ni: 0.2054 0.4099 0.7500

Computed properties:
- Energy of formation: -0.742 eV/atom

=====

Values of magnetization, in order: 0.0 0.7 0.0, all in Bohr magnetons per cell.